Below is a geometry-optimized MgMnCr2 structure, with properties calculated at the GGA-PBEsol level.

abc: 2.437 4.816 4.880
angles: 116.58 99.13 100.63
Atoms (fractional coordinates):
Mn (0.500, 0.000, 0.000)
Mg (0.000, 0.500, 0.000)
Cr (0.500, 0.500, 0.500)
Cr (0.000, 0.000, 0.500)

Total magnetic moment in μB per formula unit: 0.01
N(E_F) in states/eV/cell: 4.6
Energy in eV per atom: -7.479
Formation energy in eV per atom: 0.51